# TbSmEr4

An optimized crystal structure of TbSmEr4 (PBE, Alexandria).

Unit cell a=3.4228 b=5.7901 c=9.8246 alpha=90.00 beta=90.00 gamma=90.06
With the nearest neighbours (Å) after each atom.
Element x y z (fractional)
Tb1 0.4973 0.5013 0.0019  2 Tb 3.42, 8 Er 3.43-3.50
Sm1 0.9973 0.0013 0.5019  2 Sm 3.42, 8 Er 3.44-3.52
Er1 0.9973 0.5013 0.6912  7 Er 3.42-3.72, 2 Sm 3.44, 2 Tb 3.50
Er2 0.9973 0.5013 0.3125  7 Er 3.42-3.72, 2 Sm 3.44, 2 Tb 3.50
Er3 0.4973 0.0013 0.1888  7 Er 3.42-3.67, 2 Tb 3.43, 2 Sm 3.52
Er4 0.4973 0.0013 0.8149  7 Er 3.42-3.67, 2 Tb 3.43, 2 Sm 3.52

The calculation puts the energy relative to the lowest polymorph listed for this composition at 0.0 meV/atom. As for the space group: Pmmm (47). Its size of the total moment is 0.0 Bohr magnetons per cell. The theoretical density comes out at 8.34 g/cm³. The value obtained for the energy of formation is 0.202 eV/atom. The calculation puts the total energy at -4.40 eV/atom.